1.
Entry from Alexandria via LeMat-Bulk: TlIn6I8 after structural relaxation (GGA-PBE).

Results
relative energy among the computed polymorphs	0	meV per atom
N(E_F)	0.46	states/eV per atom
mass density	5.02	g/cm³
total magnetic moment	0.0	μB/f.u.

Lattice parameters (Å, degrees): 5.1184 11.9285 11.9285 120.00 90.00 90.00
Last column: nearest neighbours and their distance in Å.
Fractional positions:
Tl: 0.5000 0.0000 0.0000  6 I 3.67
In: 0.7516 0.6590 0.1288  5 I 3.23-3.51
In: 0.7516 0.8712 0.5301  5 I 3.23-3.51
In: 0.7516 0.4699 0.3410  5 I 3.23-3.51
In: 0.2484 0.3410 0.8712  5 I 3.23-3.51
In: 0.2484 0.1288 0.4699  5 I 3.23-3.51
In: 0.2484 0.5301 0.6590  5 I 3.23-3.51
I: 0.7463 0.9711 0.2737  3 In 3.23-3.35
I: 0.7463 0.7263 0.6974  3 In 3.23-3.35
I: 0.7463 0.3026 0.0289  3 In 3.23-3.35
I: 0.2537 0.0289 0.7263  3 In 3.23-3.35
I: 0.2537 0.2737 0.3026  3 In 3.23-3.35
I: 0.2537 0.6974 0.9711  3 In 3.23-3.35
I: 0.7461 0.3333 0.6667  6 In 3.50-3.51
I: 0.2539 0.6667 0.3333  6 In 3.50-3.51

2.
Entry from Alexandria via LeMat-Bulk: ThFeGe3 after structural relaxation (GGA-PBE).

Results
N(E_F)	0.54	states/eV per atom
energy of formation	-0.46	eV per atom
mass density	8.70	g/cm³
total magnetic moment	0.0	μB/f.u.

Lattice parameters (Å, degrees): 5.6315 5.6155 6.1054 90.00 90.00 90.00
Last column: nearest neighbours and their distance in Å.
Fractional positions:
Th: 0.4103 0.3083 0.7007  8 Ge 2.97-3.27, 2 Fe 3.00-3.24
Th: 0.9103 0.0446 0.2007  8 Ge 2.96-3.27, 2 Fe 3.00-3.24
Fe: 0.1686 0.7838 0.7008  5 Ge 2.28-2.36
Fe: 0.6686 0.5689 0.2007  5 Ge 2.28-2.36
Ge: 0.3801 0.2829 0.2007  1 Fe 2.28
Ge: 0.4596 0.8262 0.9647  2 Fe 2.31-2.36
Ge: 0.9595 0.5266 0.4647  2 Fe 2.31-2.36
Ge: 0.8801 0.0699 0.7008  1 Fe 2.28
Ge: 0.9596 0.5266 0.9369  2 Fe 2.31-2.36
Ge: 0.4596 0.8261 0.4369  2 Fe 2.31-2.36